(1)
# Zn2AgMo

Zn2AgMo after structural relaxation (PBE, the Alexandria database).

Results
For the size of the total moment, the calculation gives 0.00 μB/f.u. Its density of states at the Fermi level is 0.40 states/eV per atom. For the calculated volume, the calculation gives 15.59 A^3/atom. As for the energy relative to the lowest polymorph listed for this composition: 0.107 eV/atom. As for the symmetry: Cmmm.

a = 4.9961 Å, b = 4.9961 Å, c = 2.6295 Å
α = 90.00°, β = 90.00°, γ = 108.12°
Element x y z (fractional)
Zn 0.0000 0.5000 0.0000
Zn 0.5000 0.0000 0.0000
Ag 0.0000 0.0000 0.5000
Mo 0.5000 0.5000 0.5000


(2)
# ThIn2I7

ThIn2I7 after structural relaxation (PBE, the Alexandria database).

Results
For the size of the total moment, the calculation gives 0.00 μB/f.u. Its density of states at the Fermi level is 0.37 states/eV per atom. For the calculated volume, the calculation gives 56.41 A^3/atom. For the uncorrected formation energy, the calculation gives -7.6 eV per formula unit. As for the symmetry: C2/c.

a = 11.4351 Å, b = 11.4351 Å, c = 14.6139 Å
α = 127.43°, β = 127.43°, γ = 53.77°
Element x y z (fractional)
Th 0.1695 0.8305 0.7500
Th 0.8305 0.1695 0.2500
In 0.1678 0.7377 0.4220
In 0.2623 0.8322 0.0780
In 0.7377 0.1678 0.9220
In 0.8322 0.2623 0.5780
I 0.0195 0.2163 0.1903
I 0.0539 0.2915 0.5238
I 0.1557 0.8443 0.2500
I 0.2163 0.0195 0.6903
I 0.2915 0.0539 0.0238
I 0.4112 0.5677 0.6161
I 0.4323 0.5888 0.8839
I 0.5677 0.4112 0.1161
I 0.5888 0.4323 0.3839
I 0.7085 0.9461 0.9762
I 0.7837 0.9805 0.3097
I 0.8443 0.1557 0.7500
I 0.9461 0.7085 0.4762
I 0.9805 0.7837 0.8097


(3)
# Na2ZnHgGe

Na2ZnHgGe after structural relaxation (PBE, the Alexandria database).

Results
For the size of the total moment, the calculation gives 0.00 μB/f.u. Its density of states at the Fermi level is 0.17 states/eV per atom. The raw total energy is -1.757 eV/atom. For the calculated volume, the calculation gives 30.71 A^3/atom. As for the symmetry: P4/mmm.

a = 5.7869 Å, b = 5.7869 Å, c = 4.5859 Å
α = 90.00°, β = 90.00°, γ = 90.00°
Element x y z (fractional)
Na 0.0000 0.5000 0.0000
Na 0.5000 0.0000 0.0000
Zn 0.0000 0.0000 0.5000
Hg 0.5000 0.5000 0.5000
Ge 0.0000 0.0000 0.0000


Question: Which of these has the highest calculated volume?
Answer: ThIn2I7


Question: Number 2 is which compound?
Answer: ThIn2I7